First-principles (GGA-PBE) data for an optimized crystal structure of Mn2AlW, as listed in the Alexandria database.

SG: P4mm
Formation energy, meV/atom: -24

Lattice parameters (Å, degrees): 2.7253 2.7253 6.9831 90.00 90.00 90.00
Fractional positions:
Mn (0.0000, 0.0000, 0.0000)
Mn (0.5000, 0.5000, 0.1930)
Al (0.5000, 0.5000, 0.7614)
W (0.0000, 0.0000, 0.4680)

First-principles (GGA-PBE) data for an optimized crystal structure of Zn2NiCl, as listed in the Alexandria database.

Offset from the most stable computed form, kcal/mol of atoms: 8.994
SG: Pmmm

Lattice parameters (Å, degrees): 2.8937 4.0419 5.5381 90.00 90.00 90.00
Fractional positions:
Zn (0.0000, 0.0000, 0.0000)
Zn (0.5000, 0.5000, 0.0000)
Ni (0.0000, 0.5000, 0.5000)
Cl (0.5000, 0.0000, 0.5000)

First-principles (GGA-PBE) data for an optimized crystal structure of PrNd2YEr5, as listed in the Alexandria database.

SG: I4/mcm
Formation energy, meV/atom: 260

Lattice parameters (Å, degrees): 9.8822 9.8822 9.8822 127.50 127.50 77.43
Fractional positions:
Pr (0.2500, 0.2500, 0.0000)
Pr (0.7500, 0.7500, 0.0000)
Nd (0.1165, 0.6165, 0.7329)
Nd (0.3835, 0.1165, 0.5000)
Nd (0.6165, 0.8835, 0.5000)
Nd (0.8835, 0.3835, 0.2671)
Y (0.2500, 0.7500, 0.5000)
Y (0.7500, 0.2500, 0.5000)
Er (0.0000, 0.0000, 0.0000)
Er (0.0735, 0.1518, 0.5000)
Er (0.1518, 0.6518, 0.0782)
Er (0.3482, 0.4265, 0.5000)
Er (0.4265, 0.9265, 0.0782)
Er (0.5000, 0.5000, 0.0000)
Er (0.5735, 0.0735, 0.9218)
Er (0.6518, 0.5735, 0.5000)
Er (0.8482, 0.3482, 0.9218)
Er (0.9265, 0.8482, 0.5000)

First-principles (GGA-PBE) data for an optimized crystal structure of LaScTlCd, as listed in the Alexandria database.

SG: F-43m
Formation energy, meV/atom: -307

Lattice parameters (Å, degrees): 5.3582 5.3582 5.3582 60.00 60.00 60.00
Fractional positions:
La (0.0000, 0.0000, 0.0000)
Sc (0.5000, 0.5000, 0.5000)
Tl (0.7500, 0.7500, 0.7500)
Cd (0.2500, 0.2500, 0.2500)

First-principles (GGA-PBE) data for an optimized crystal structure of Hf2Ta2Fe, as listed in the Alexandria database.

Offset from the most stable computed form, kcal/mol of atoms: 9.572
SG: I4/mmm
Formation energy, meV/atom: 834

Lattice parameters (Å, degrees): 8.3623 8.3623 8.3623 155.30 155.30 35.21
Fractional positions:
Hf (0.0904, 0.0904, 0.0000)
Hf (0.9096, 0.9096, 0.0000)
Ta (0.2500, 0.7500, 0.5000)
Ta (0.7500, 0.2500, 0.5000)
Fe (0.5000, 0.5000, 0.0000)

First-principles (GGA-PBE) data for an optimized crystal structure of RbAcAs, as listed in the Alexandria database.

SG: I4mm
Formation energy, meV/atom: -600

Lattice parameters (Å, degrees): 8.4304 8.4304 8.4304 151.12 151.12 41.31
Fractional positions:
Rb (0.0000, 0.0000, 0.0000)
Ac (0.2400, 0.2400, 0.0000)
As (0.6802, 0.6802, 0.0000)

Q: Which size of the total moment values were calculated for the entries above? A: 0.001 0.249 0.000 0.415 0.000 0.000, in μB/f.u..